No. 1
A plane-wave DFT calculation with GGA-PBE was carried out for a relaxed TaZnNiPb crystal.

Summary:
The value obtained for the total energy is -5.05 eV per atom.

a = 4.610 Å, b = 4.610 Å, c = 4.610 Å
α = 60.00°, β = 60.00°, γ = 60.00°
Positions (direct):
Ni: 0.750 0.750 0.750
Pb: 0.000 0.000 0.000
Ta: 0.250 0.250 0.250
Zn: 0.500 0.500 0.500

No. 2
A plane-wave DFT calculation with GGA-PBE was carried out for a relaxed TbYNi2Pb crystal.

Summary:
The value obtained for the total energy is -5.70 eV per atom.

a = 3.705 Å, b = 7.395 Å, c = 7.395 Å
α = 31.21°, β = 90.00°, γ = 90.00°
Positions (direct):
Ni: 0.000 0.201 0.201
Ni: 0.000 0.798 0.798
Pb: 0.000 0.000 0.000
Tb: 0.500 0.640 0.640
Y: 0.500 0.361 0.361

Please write out number 1 again, unchanged.
A plane-wave DFT calculation with GGA-PBE was carried out for a relaxed TaZnNiPb crystal.

Summary:
The value obtained for the total energy is -5.05 eV per atom.

a = 4.610 Å, b = 4.610 Å, c = 4.610 Å
α = 60.00°, β = 60.00°, γ = 60.00°
Positions (direct):
Ni: 0.750 0.750 0.750
Pb: 0.000 0.000 0.000
Ta: 0.250 0.250 0.250
Zn: 0.500 0.500 0.500

> Among the records above, which one has the lowest total energy?

TbYNi2Pb